Computed, not measured: KCu2Sb after structural relaxation at the PBE level of DFT.

Cell and atoms, written as POSCAR:
```
KCu2Sb
1.0
6.177 0.003 -0.003
2.822 5.495 0.003
-3.592 -4.234 2.706
Cu Sb K
2 1 1
Cartesian
8.939 5.461 0.000 Cu
4.104 -0.398 1.352 Cu
1.404 1.723 1.355 Sb
4.458 2.724 0.000 K
```

Space-group type: Imm2, No. 44
Total magnetic moment: 0.00 Bohr magnetons per cell
Uncorrected formation energy: 0.230 eV/atom
VASP energy: -3.1227 eV/atom


Computed, not measured: K2RbUF8 after structural relaxation at the PBE level of DFT.

Cell and atoms, written as POSCAR:
```
K2RbUF8
1.0
-5.703 -1.760 0.973
1.638 -2.364 5.320
0.854 7.389 -0.416
K F U Rb
2 8 1 1
Cartesian
0.000 0.000 0.000 K
-3.441 1.783 1.852 K
-1.069 0.502 2.517 F
0.861 3.471 3.274 F
-0.368 -0.511 4.796 F
-4.381 -0.520 3.083 F
-1.582 2.717 3.691 F
-3.680 -1.533 5.361 F
-0.091 4.844 0.184 F
-2.533 4.090 0.601 F
0.230 1.482 4.025 U
-2.033 -2.062 3.147 Rb
```

Space-group type: I-4m2, No. 119
Total magnetic moment: 1.00 Bohr magnetons per cell
Uncorrected formation energy: -3.243 eV/atom
VASP energy: -5.6947 eV/atom


Computed, not measured: SbHIrNF after structural relaxation at the PBE level of DFT.

Cell and atoms, written as POSCAR:
```
SbHIrNF
1.0
-2.218 -0.074 1.833
-1.441 -3.445 0.375
4.179 -3.038 5.058
F Ir N H Sb
1 1 1 1 1
Cartesian
1.332 -3.185 5.146 F
0.092 -2.419 1.427 Ir
-1.190 -1.009 2.194 N
-1.832 -0.694 1.424 H
0.172 -4.197 3.704 Sb
```

Space-group type: P1, No. 1
Total magnetic moment: 0.00 Bohr magnetons per cell
Excess energy over the best structure of this formula in the dataset: 53.1 meV/atom
VASP energy: -5.6026 eV/atom


Computed, not measured: KNiBr2 after structural relaxation at the PBE level of DFT.

Cell and atoms, written as POSCAR:
```
KNiBr2
1.0
-0.837 -2.656 -5.141
2.220 -5.251 1.300
-4.414 3.616 1.276
K Br Ni
1 2 1
Cartesian
-0.751 -2.794 0.327 K
0.785 -4.487 -2.180 Br
1.290 -7.373 -3.582 Br
-2.280 -1.497 -2.893 Ni
```

Space-group type: Immm, No. 71
Total magnetic moment: 1.00 Bohr magnetons per cell
Excess energy over the best structure of this formula in the dataset: 58.3 meV/atom
Uncorrected formation energy: -0.710 eV/atom
VASP energy: -3.2663 eV/atom


Computed, not measured: K2Na5In5 after structural relaxation at the PBE level of DFT.

Cell and atoms, written as POSCAR:
```
K2Na5In5
1.0
-5.143 1.828 0.621
-1.564 -5.452 3.095
2.887 4.771 9.861
K Na In
2 5 5
Cartesian
1.444 2.385 4.931 K
-0.782 -2.726 1.548 K
0.533 0.881 1.822 Na
1.146 0.460 8.133 Na
0.177 -1.141 4.823 Na
-2.572 0.914 0.311 Na
2.354 3.889 8.040 Na
-1.910 0.573 6.789 In
-2.985 -1.939 5.285 In
-0.835 3.085 8.293 In
-1.639 0.285 9.883 In
-2.181 0.862 3.696 In
```

Space-group type: Pmmm, No. 47
Total magnetic moment: 0.00 Bohr magnetons per cell
Energy of formation: -0.06 eV per atom
VASP energy: -1.9309 eV/atom


Computed, not measured: InHgRu2 after structural relaxation at the PBE level of DFT.

Cell and atoms, written as POSCAR:
```
InHgRu2
1.0
4.774 -0.002 0.000
3.831 2.849 0.000
0.996 0.330 5.137
Ru In Hg
2 1 1
Cartesian
4.808 1.591 2.439 Ru
8.597 2.845 0.129 Ru
2.400 0.794 1.284 In
7.201 2.382 3.852 Hg
```

Space-group type: C2/m, No. 12
Total magnetic moment: 0.33 Bohr magnetons per cell
Excess energy over the best structure of this formula in the dataset: 205.6 meV/atom
Energy of formation: 0.43 eV per atom
VASP energy: -4.9649 eV/atom


Computed, not measured: VCr4Ru2 after structural relaxation at the PBE level of DFT.

Cell and atoms, written as POSCAR:
```
VCr4Ru2
1.0
4.201 0.000 0.000
0.000 4.201 0.000
2.100 2.100 6.161
Ru Cr V
2 4 1
Cartesian
2.100 2.100 1.482 Ru
4.201 4.201 4.679 Ru
2.100 2.100 3.768 Cr
4.201 4.201 2.393 Cr
2.100 0.000 0.000 Cr
0.000 2.100 0.000 Cr
0.000 0.000 0.000 V
```

Space-group type: I4/mmm, No. 139
Total magnetic moment: 2.74 Bohr magnetons per cell
Energy of formation: 1.08 eV per atom
VASP energy: -8.3762 eV/atom


Computed, not measured: NpTl2F6 after structural relaxation at the PBE level of DFT.

Cell and atoms, written as POSCAR:
```
NpTl2F6
1.0
-0.005 6.524 2.654
-5.538 -2.220 -3.743
-3.265 -2.593 6.369
F Tl Np
12 4 2
Cartesian
-5.261 -2.333 3.177 F
-4.829 0.075 1.718 F
-7.362 -0.701 2.764 F
-1.446 2.412 2.516 F
-5.279 2.615 0.634 F
-3.474 1.152 -0.926 F
-2.068 0.122 1.264 F
-3.530 -0.904 4.646 F
-6.740 1.589 4.016 F
-5.335 0.559 6.206 F
-3.979 1.636 3.562 F
-3.547 4.044 2.103 F
-6.295 -2.126 0.479 Tl
-0.897 5.121 1.648 Tl
-2.513 3.837 4.801 Tl
-7.911 -3.410 3.632 Tl
-3.331 1.910 1.345 Np
-5.477 -0.199 3.935 Np
```

Space-group type: Cmcm, No. 63
Total magnetic moment: 6.00 Bohr magnetons per cell
Uncorrected formation energy: -2.754 eV/atom
VASP energy: -5.9656 eV/atom


Computed, not measured: GaHAu2 after structural relaxation at the PBE level of DFT.

Cell and atoms, written as POSCAR:
```
GaHAu2
1.0
2.909 0.000 0.000
1.454 2.519 0.000
1.454 0.840 8.273
Au H Ga
2 1 1
Cartesian
1.454 0.840 5.594 Au
4.363 2.519 2.679 Au
2.909 1.679 4.137 H
0.000 0.000 0.000 Ga
```

Space-group type: R-3m, No. 166
Total magnetic moment: 0.00 Bohr magnetons per cell
Excess energy over the best structure of this formula in the dataset: 148.3 meV/atom
VASP energy: -2.9847 eV/atom


Computed, not measured: Sc2AgAsW after structural relaxation at the PBE level of DFT.

Cell and atoms, written as POSCAR:
```
Sc2AgAsW
1.0
4.950 0.000 0.000
0.000 4.651 0.000
0.000 0.000 4.950
W Sc As Ag
1 2 1 1
Cartesian
2.475 2.326 2.475 W
2.475 0.000 0.000 Sc
0.000 0.000 2.475 Sc
0.000 0.000 0.000 As
0.000 2.326 0.000 Ag
```

Space-group type: P4/mmm, No. 123
Total magnetic moment: 0.00 Bohr magnetons per cell
Energy of formation: 0.75 eV per atom
VASP energy: -5.8711 eV/atom


Computed, not measured: RbLiHf3 after structural relaxation at the PBE level of DFT.

Cell and atoms, written as POSCAR:
```
RbLiHf3
1.0
5.107 0.000 0.000
0.000 5.107 0.000
0.000 0.000 5.107
Hf Li Rb
3 1 1
Cartesian
0.000 2.554 0.000 Hf
2.554 0.000 0.000 Hf
0.000 0.000 2.554 Hf
2.554 2.554 2.554 Li
0.000 0.000 0.000 Rb
```

Space-group type: Pm-3m, No. 221
Total magnetic moment: 0.00 Bohr magnetons per cell
Excess energy over the best structure of this formula in the dataset: 925.3 meV/atom
Energy of formation: 2.28 eV per atom
VASP energy: -4.2716 eV/atom


Computed, not measured: Fe2Co2Mo after structural relaxation at the PBE level of DFT.

Cell and atoms, written as POSCAR:
```
Fe2Co2Mo
1.0
6.729 0.000 0.000
0.000 6.729 0.000
0.000 0.000 2.541
Mo Fe Co
2 4 4
Cartesian
0.000 0.000 0.000 Mo
3.364 3.364 0.000 Mo
1.164 4.529 1.271 Fe
4.529 5.564 1.271 Fe
2.200 1.164 1.271 Fe
5.564 2.200 1.271 Fe
0.823 2.541 0.000 Co
2.541 5.906 0.000 Co
5.906 4.187 0.000 Co
4.187 0.823 0.000 Co
```

Space-group type: P4/mbm, No. 127
Total magnetic moment: 0.00 Bohr magnetons per cell
Excess energy over the best structure of this formula in the dataset: 42.8 meV/atom
Energy of formation: 0.22 eV per atom
VASP energy: -8.1760 eV/atom


Computed, not measured: Pr2DyY5 after structural relaxation at the PBE level of DFT.

Cell and atoms, written as POSCAR:
```
Pr2DyY5
1.0
-0.213 4.657 2.053
-5.827 1.484 -3.971
-8.458 -5.030 10.531
Y Dy Pr
10 2 4
Cartesian
-5.530 2.814 -0.638 Y
-12.165 -2.286 3.923 Y
-9.260 -3.033 5.919 Y
-4.736 0.811 3.988 Y
-9.762 0.300 4.625 Y
-8.969 -1.703 9.250 Y
0.000 0.000 0.000 Y
-7.143 -1.773 3.280 Y
-2.120 -1.259 2.637 Y
-5.026 -0.512 0.641 Y
-4.229 -2.515 5.266 Dy
-2.914 0.742 -1.986 Dy
-7.659 1.554 1.999 Pr
-2.622 2.075 1.341 Pr
-11.877 -0.963 7.272 Pr
-6.840 -0.443 6.614 Pr
```

Space-group type: Pbam, No. 55
Total magnetic moment: 0.00 Bohr magnetons per cell
Excess energy over the best structure of this formula in the dataset: 0.0 meV/atom
Energy of formation: 0.02 eV per atom
VASP energy: -5.7888 eV/atom


Computed, not measured: CdPt2WC after structural relaxation at the PBE level of DFT.

Cell and atoms, written as POSCAR:
```
CdPt2WC
1.0
-2.908 0.612 3.965
1.032 -3.447 1.289
3.783 2.050 2.457
C W Pt Cd
1 1 2 1
Cartesian
0.516 -1.724 0.644 C
0.953 -0.392 3.856 W
-1.454 0.306 1.982 Pt
1.891 1.025 1.229 Pt
0.000 0.000 0.000 Cd
```

Space-group type: P4/mmm, No. 123
Total magnetic moment: 0.00 Bohr magnetons per cell
Energy of formation: 2.44 eV per atom
VASP energy: -4.5992 eV/atom


Computed, not measured: SmHfCdIn after structural relaxation at the PBE level of DFT.

Cell and atoms, written as POSCAR:
```
SmHfCdIn
1.0
5.164 0.000 0.000
2.582 4.472 0.000
2.582 1.491 4.216
In Hf Cd Sm
1 1 1 1
Cartesian
2.582 1.491 1.054 In
0.000 0.000 0.000 Hf
7.746 4.472 3.162 Cd
5.164 2.981 2.108 Sm
```

Space-group type: F-43m, No. 216
Total magnetic moment: 0.00 Bohr magnetons per cell
Energy of formation: -0.15 eV per atom
VASP energy: -4.7283 eV/atom


Computed, not measured: NiSb2Os after structural relaxation at the PBE level of DFT.

Cell and atoms, written as POSCAR:
```
NiSb2Os
1.0
-2.451 -0.296 -3.996
-2.660 -3.777 -0.849
-4.682 0.358 0.086
Sb Ni Os
2 1 1
Cartesian
-7.345 -2.786 -3.569 Sb
0.000 0.000 0.000 Sb
-4.897 -1.858 -2.380 Ni
-2.448 -0.929 -1.190 Os
```

Space-group type: F-43m, No. 216
Total magnetic moment: 0.00 Bohr magnetons per cell
Excess energy over the best structure of this formula in the dataset: 650.1 meV/atom
Uncorrected formation energy: 0.837 eV/atom
VASP energy: -5.4771 eV/atom


Computed, not measured: LaBe2As2 after structural relaxation at the PBE level of DFT.

Cell and atoms, written as POSCAR:
```
LaBe2As2
1.0
-3.729 0.051 0.476
0.011 -3.729 0.482
-1.061 -1.039 6.645
Be La As
2 1 2
Cartesian
-3.325 -1.414 3.800 Be
-1.455 -3.304 3.803 Be
0.000 0.000 0.000 La
-3.144 -3.103 5.396 As
-1.636 -1.615 2.208 As
```

Space-group type: I4/mmm, No. 139
Total magnetic moment: 0.00 Bohr magnetons per cell
Energy of formation: -0.62 eV per atom
VASP energy: -4.9574 eV/atom


Computed, not measured: Ir5Pt4 after structural relaxation at the PBE level of DFT.

Cell and atoms, written as POSCAR:
```
Ir5Pt4
1.0
-0.894 -0.840 -8.227
-8.169 -1.196 1.010
-4.834 0.908 -3.772
Pt Ir
4 5
Cartesian
-0.293 -0.275 -2.698 Pt
-2.679 -0.392 0.331 Pt
-0.601 -0.564 -5.529 Pt
-5.491 -0.804 0.679 Pt
0.000 0.000 0.000 Ir
-3.345 -0.960 -5.115 Ir
-5.718 -1.076 -2.102 Ir
-3.054 -0.686 -2.431 Ir
-6.010 -1.350 -4.785 Ir
```

Space-group type: I4/mmm, No. 139
Total magnetic moment: 0.00 Bohr magnetons per cell
Energy of formation: 0.07 eV per atom
VASP energy: -7.5387 eV/atom


Computed, not measured: InW2Se after structural relaxation at the PBE level of DFT.

Cell and atoms, written as POSCAR:
```
InW2Se
1.0
9.042 0.000 0.000
8.541 2.968 0.000
8.541 1.442 2.594
W In Se
2 1 1
Cartesian
0.219 0.037 0.022 W
12.844 2.168 1.275 W
6.531 1.102 0.649 In
19.594 3.307 1.946 Se
```

Space-group type: R-3m, No. 166
Total magnetic moment: 0.00 Bohr magnetons per cell
Excess energy over the best structure of this formula in the dataset: 272.2 meV/atom
Uncorrected formation energy: 0.573 eV/atom
VASP energy: -7.4591 eV/atom


Computed, not measured: SrCe5Sb6 after structural relaxation at the PBE level of DFT.

Cell and atoms, written as POSCAR:
```
SrCe5Sb6
1.0
7.732 -0.119 -1.458
-4.176 6.508 -1.458
0.152 0.273 7.864
Sb Ce Sr
6 5 1
Cartesian
2.674 4.805 -0.162 Sb
2.997 0.578 1.265 Sb
-1.089 2.852 1.265 Sb
1.034 1.857 5.110 Sb
4.796 3.810 3.683 Sb
0.710 6.084 3.683 Sb
-0.220 4.307 -1.458 Ce
5.861 1.101 2.474 Ce
3.776 2.083 -1.458 Ce
-2.153 5.561 2.474 Ce
1.854 3.331 2.474 Ce
0.000 0.000 0.000 Sr
```

Space-group type: C2/m, No. 12
Total magnetic moment: 3.79 Bohr magnetons per cell
Uncorrected formation energy: -1.030 eV/atom
VASP energy: -5.7035 eV/atom


Computed, not measured: RbHgICl2 after structural relaxation at the PBE level of DFT.

Cell and atoms, written as POSCAR:
```
RbHgICl2
1.0
-4.431 1.825 2.585
-3.144 -3.040 -3.243
0.387 -4.492 3.836
Cl Hg Rb I
2 1 1 1
Cartesian
-2.216 0.913 1.293 Cl
-1.572 -1.520 -1.622 Cl
0.000 0.000 0.000 Hg
-3.594 -2.854 1.589 Rb
0.194 -2.246 1.918 I
```

Space-group type: P4/mmm, No. 123
Total magnetic moment: 0.00 Bohr magnetons per cell
Excess energy over the best structure of this formula in the dataset: 84.4 meV/atom
Uncorrected formation energy: -0.959 eV/atom
VASP energy: -2.2619 eV/atom


Computed, not measured: LaAgPt2 after structural relaxation at the PBE level of DFT.

Cell and atoms, written as POSCAR:
```
LaAgPt2
1.0
9.935 0.074 0.043
9.452 3.062 0.043
9.452 1.529 2.653
Pt La Ag
2 1 1
Cartesian
14.541 2.352 1.382 Pt
28.718 4.645 2.729 Pt
21.630 3.499 2.055 La
7.210 1.166 0.685 Ag
```

Space-group type: R-3m, No. 166
Total magnetic moment: 0.60 Bohr magnetons per cell
Energy of formation: -0.06 eV per atom
VASP energy: -5.0267 eV/atom


Computed, not measured: ZrNpNi10 after structural relaxation at the PBE level of DFT.

Cell and atoms, written as POSCAR:
```
ZrNpNi10
1.0
3.957 0.000 0.000
0.000 4.793 0.000
0.000 0.000 8.330
Zr Ni Np
1 10 1
Cartesian
0.000 0.000 0.000 Zr
0.000 0.000 2.749 Ni
1.979 1.191 2.052 Ni
1.979 3.602 2.052 Ni
0.000 2.396 1.367 Ni
0.000 0.000 5.580 Ni
1.979 3.602 6.278 Ni
0.000 2.396 6.962 Ni
1.979 2.396 0.000 Ni
1.979 1.191 6.278 Ni
1.979 0.000 4.165 Ni
0.000 2.396 4.165 Np
```

Space-group type: Pmmm, No. 47
Total magnetic moment: 0.71 Bohr magnetons per cell
Energy of formation: -0.20 eV per atom
VASP energy: -6.8133 eV/atom


Computed, not measured: NiGeRu2 after structural relaxation at the PBE level of DFT.

Cell and atoms, written as POSCAR:
```
NiGeRu2
1.0
-2.050 -6.424 0.694
2.349 -0.062 6.358
-2.113 -2.430 4.370
Ge Ru Ni
2 4 2
Cartesian
-2.006 -6.048 4.295 Ge
0.000 0.000 0.000 Ge
-1.304 -7.498 9.498 Ru
0.700 -1.399 5.148 Ru
-1.491 -4.254 5.872 Ru
-1.532 -4.680 2.327 Ru
0.193 -2.868 7.127 Ni
0.150 -3.243 3.526 Ni
```

Space-group type: I-42d, No. 122
Total magnetic moment: 0.74 Bohr magnetons per cell
Energy of formation: 0.45 eV per atom
VASP energy: -6.7832 eV/atom


Computed, not measured: DyHoSc2In4 after structural relaxation at the PBE level of DFT.

Cell and atoms, written as POSCAR:
```
DyHoSc2In4
1.0
5.173 0.000 0.000
2.586 4.480 0.000
2.586 1.493 8.459
Ho Dy Sc In
1 1 2 4
Cartesian
5.173 2.987 4.229 Ho
0.000 0.000 0.000 Dy
7.759 4.480 6.343 Sc
2.586 1.493 2.116 Sc
7.759 4.480 3.177 In
5.173 2.987 1.063 In
5.173 2.987 7.396 In
2.586 1.493 5.282 In
```

Space-group type: R-3m, No. 166
Total magnetic moment: 0.00 Bohr magnetons per cell
Energy of formation: -0.43 eV per atom
VASP energy: -4.5249 eV/atom